Entry 1:
## Li2MnCo (PBE)

Data for a relaxed Li2MnCo crystal.

a = 2.4218 Å, b = 2.4218 Å, c = 8.9859 Å
α = 90.00°, β = 90.00°, γ = 115.10°
Closest atoms and distances in Å follow each position.
Positions (direct):
1 Li 0.0000 0.0000 0.2432  6 Li 2.42-2.60, 2 Co 2.54, 2 Mn 2.65
2 Li 0.0000 0.0000 0.7568  6 Li 2.42-2.60, 2 Co 2.54, 2 Mn 2.65
3 Mn 0.5000 0.5000 0.5000  6 Mn 2.42-2.60, 4 Li 2.65
4 Co 0.5000 0.5000 0.0000  6 Co 2.42-2.60, 4 Li 2.54

Values from the calculation:
* space-group type: No. 65
* excess energy over the best structure of this formula in the dataset: 0.26 eV/f.u.

---

Entry 2:
## Li3MnCo (PBE)

Data for a relaxed Li3MnCo crystal.

a = 4.6096 Å, b = 4.6096 Å, c = 4.6096 Å
α = 90.00°, β = 90.00°, γ = 90.00°
Closest atoms and distances in Å follow each position.
Positions (direct):
1 Li 0.0000 0.0000 0.5000  2 Mn 2.30
2 Li 0.0000 0.5000 0.0000  2 Mn 2.30
3 Li 0.5000 0.0000 0.0000  2 Mn 2.30
4 Mn 0.0000 0.0000 0.0000  6 Li 2.30
5 Co 0.5000 0.5000 0.5000  12 Li 3.26

Values from the calculation:
* space-group type: No. 221

---

Entry 3:
## Li2MnCo (PBE)

Data for a relaxed Li2MnCo crystal.

a = 9.1134 Å, b = 9.1134 Å, c = 9.1134 Å
α = 15.54°, β = 15.54°, γ = 15.54°
Closest atoms and distances in Å follow each position.
Positions (direct):
1 Li 0.2479 0.2479 0.2479  6 Li 2.46, 3 Co 2.62, 3 Mn 2.71
2 Li 0.7521 0.7521 0.7521  6 Li 2.46, 3 Co 2.62, 3 Mn 2.71
3 Mn 0.0000 0.0000 0.0000  6 Mn 2.46, 6 Li 2.71
4 Co 0.5000 0.5000 0.5000  6 Co 2.46, 6 Li 2.62

Values from the calculation:
* space-group type: No. 166
* excess energy over the best structure of this formula in the dataset: 0.18 eV/f.u.

---

Entry 4:
## Li2MnCo (PBE)

Data for a relaxed Li2MnCo crystal.

a = 2.3231 Å, b = 2.3231 Å, c = 8.6783 Å
α = 90.00°, β = 90.00°, γ = 90.00°
Closest atoms and distances in Å follow each position.
Positions (direct):
1 Li 0.0000 0.0000 0.2439  4 Li 2.32
2 Li 0.0000 0.0000 0.7561  4 Li 2.32
3 Mn 0.5000 0.5000 0.5000  4 Mn 2.32
4 Co 0.5000 0.5000 0.0000  4 Co 2.32

Values from the calculation:
* space-group type: No. 123
* excess energy over the best structure of this formula in the dataset: 0.49 eV/f.u.

---

Entry 5:
## Li2MnCo (PBE)

Data for a relaxed Li2MnCo crystal.

a = 3.4444 Å, b = 3.4444 Å, c = 4.3339 Å
α = 90.00°, β = 90.00°, γ = 90.00°
Closest atoms and distances in Å follow each position.
Positions (direct):
1 Li 0.0000 0.5000 0.0000  4 Li 2.44
2 Li 0.5000 0.0000 0.0000  4 Li 2.44
3 Mn 0.0000 0.0000 0.5000  4 Co 2.44
4 Co 0.5000 0.5000 0.5000  4 Mn 2.44

Values from the calculation:
* space-group type: No. 123
* excess energy over the best structure of this formula in the dataset: 0.28 eV/f.u.

---

Entry 6:
## Li2MnCo (PBE)

Data for a relaxed Li2MnCo crystal.

a = 2.7018 Å, b = 2.7018 Å, c = 7.1952 Å
α = 90.00°, β = 90.00°, γ = 90.00°
Closest atoms and distances in Å follow each position.
Positions (direct):
1 Li 0.0000 0.0000 0.0000  4 Co 2.61, 4 Li 2.70
2 Li 0.5000 0.5000 0.3156  4 Mn 2.69, 8 Li 2.70-2.97
3 Mn 0.0000 0.0000 0.5792  4 Co 2.28
4 Co 0.5000 0.5000 0.7531  4 Mn 2.28

Values from the calculation:
* space-group type: No. 99
* excess energy over the best structure of this formula in the dataset: 0.17 eV/f.u.

---

Entry 7:
## Li2MnCo (PBE)

Data for a relaxed Li2MnCo crystal.

a = 2.4588 Å, b = 3.5727 Å, c = 5.6273 Å
α = 90.00°, β = 90.00°, γ = 90.00°
Closest atoms and distances in Å follow each position.
Positions (direct):
1 Li 0.0000 0.0000 0.0000  6 Li 2.46-2.63, 1 Mn 2.49, 4 Co 2.70
2 Li 0.5000 0.5000 0.2648  6 Li 2.46-2.63, 1 Co 2.52, 4 Mn 2.72
3 Mn 0.0000 0.0000 0.5575  4 Co 2.34, 2 Mn 2.46, 1 Li 2.49
4 Co 0.5000 0.5000 0.7135  4 Mn 2.34, 2 Co 2.46, 1 Li 2.52

Values from the calculation:
* space-group type: No. 25
* excess energy over the best structure of this formula in the dataset: 0.18 eV/f.u.

---

Entry 8:
## Li2MnCo (PBE)

Data for a relaxed Li2MnCo crystal.

a = 4.9504 Å, b = 4.9504 Å, c = 4.9504 Å
α = 139.26°, β = 139.26°, γ = 58.97°
Closest atoms and distances in Å follow each position.
Positions (direct):
1 Li 0.2500 0.7500 0.5000  4 Li 2.44
2 Li 0.7500 0.2500 0.5000  4 Li 2.44
3 Mn 0.0000 0.0000 0.0000  4 Co 2.44
4 Co 0.5000 0.5000 0.0000  4 Mn 2.44

Values from the calculation:
* space-group type: No. 139
* excess energy over the best structure of this formula in the dataset: 0.24 eV/f.u.

---

Taking the records one at a time from the top gives energy of formation from the pure elements values of 0.273; 1.169; 0.252; 0.331; 0.278; 0.251; 0.253; 0.268 eV per atom.
Taking the records one at a time from the top gives total magnetization values of 0.73; 1.15; 0.67; 0.48; 1.04; 0.20; 0.18; 1.06 μB per atom.